The following is a DFT calculation (PBE) of crystalline Li2PrEr2Bi2 at its relaxed geometry.

Cell: 4.8871 4.8871 9.4473 Å, 75.01 75.01 60.00°
Last column: magnetic moment on the atom in μB.
Element x y z (fractional)
1 Er 0.8669 0.8669 0.3994  0.45
2 Pr 0.0000 0.0000 0.0000  0.04
3 Li 0.4172 0.4172 0.7485  0.01
4 Er 0.1331 0.1331 0.6006  0.45
5 Bi 0.2615 0.2615 0.2156  0.00
6 Li 0.5828 0.5828 0.2515  0.01
7 Bi 0.7385 0.7385 0.7844  0.00

Formation enthalpy at 0 K in eV/atom: -0.40
Crystal system: trigonal